Record 1
# NbTl3Se (GGA-PBE, optimized geometry)
data_NbTl3Se
_chemical_formula_sum 'Nb1 Tl3 Se1'
_cell_length_a 5.6866
_cell_length_b 5.6866
_cell_length_c 5.6866
_cell_angle_alpha 90.00
_cell_angle_beta 90.00
_cell_angle_gamma 90.00
_space_group_name_H-M_alt 'P 1'
_space_group_IT_number 1
_space_group_name_Hall 'P 1'
loop_
_atom_site_label
_atom_site_type_symbol
_atom_site_fract_x
_atom_site_fract_y
_atom_site_fract_z
_atom_site_occupancy
Nb1 Nb 0.0000 0.0000 0.0000 1
Tl1 Tl 0.0000 0.5000 0.5000 1
Tl2 Tl 0.5000 0.0000 0.5000 1
Tl3 Tl 0.5000 0.5000 0.0000 1
Se1 Se 0.5000 0.5000 0.5000 1
# excess energy over the best structure of this formula in the dataset: 363 meV/atom
# ΔE_f (raw): 1.075 eV per atom
# VASP energy: -15.28 eV/cell

Record 2
# InNiRh2N (GGA-PBE, optimized geometry)
data_InNiRh2N
_chemical_formula_sum 'In1 Ni1 Rh2 N1'
_cell_length_a 4.1894
_cell_length_b 4.1894
_cell_length_c 3.7941
_cell_angle_alpha 90.00
_cell_angle_beta 90.00
_cell_angle_gamma 90.00
_space_group_name_H-M_alt 'P 1'
_space_group_IT_number 1
_space_group_name_Hall 'P 1'
loop_
_atom_site_label
_atom_site_type_symbol
_atom_site_fract_x
_atom_site_fract_y
_atom_site_fract_z
_atom_site_occupancy
In1 In 0.0000 0.0000 0.0000 1
Ni1 Ni 0.5000 0.5000 0.0000 1
Rh1 Rh 0.0000 0.5000 0.5000 1
Rh2 Rh 0.5000 0.0000 0.5000 1
N1 N 0.5000 0.5000 0.5000 1
# ΔE_f (raw): -0.044 eV per atom
# VASP energy: -31.77 eV/cell

Record 3
# ThZrTlAu (GGA-PBE, optimized geometry)
data_ThZrTlAu
_chemical_formula_sum 'Th1 Zr1 Tl1 Au1'
_cell_length_a 5.2130
_cell_length_b 5.2130
_cell_length_c 5.2130
_cell_angle_alpha 60.00
_cell_angle_beta 60.00
_cell_angle_gamma 60.00
_space_group_name_H-M_alt 'P 1'
_space_group_IT_number 1
_space_group_name_Hall 'P 1'
loop_
_atom_site_label
_atom_site_type_symbol
_atom_site_fract_x
_atom_site_fract_y
_atom_site_fract_z
_atom_site_occupancy
Th1 Th 0.0000 0.0000 0.0000 1
Zr1 Zr 0.5000 0.5000 0.5000 1
Tl1 Tl 0.2500 0.2500 0.2500 1
Au1 Au 0.7500 0.7500 0.7500 1
# E_form: -0.181 eV/atom
# VASP energy: -22.34 eV/cell

Record 4
# CsBi2Mo (GGA-PBE, optimized geometry)
data_CsBi2Mo
_chemical_formula_sum 'Cs1 Bi2 Mo1'
_cell_length_a 5.5558
_cell_length_b 5.5558
_cell_length_c 5.5558
_cell_angle_alpha 60.00
_cell_angle_beta 60.00
_cell_angle_gamma 60.00
_space_group_name_H-M_alt 'P 1'
_space_group_IT_number 1
_space_group_name_Hall 'P 1'
loop_
_atom_site_label
_atom_site_type_symbol
_atom_site_fract_x
_atom_site_fract_y
_atom_site_fract_z
_atom_site_occupancy
Cs1 Cs 0.0000 0.0000 0.0000 1
Bi1 Bi 0.2500 0.2500 0.2500 1
Bi2 Bi 0.7500 0.7500 0.7500 1
Mo1 Mo 0.5000 0.5000 0.5000 1
# E_form: 0.847 eV/atom
# VASP energy: -16.06 eV/cell

Record 5
# Sr4PtAu (GGA-PBE, optimized geometry)
data_Sr4PtAu
_chemical_formula_sum 'Sr8 Pt2 Au2'
_cell_length_a 9.3033
_cell_length_b 9.3033
_cell_length_c 7.5288
_cell_angle_alpha 109.69
_cell_angle_beta 109.69
_cell_angle_gamma 115.52
_space_group_name_H-M_alt 'P 1'
_space_group_IT_number 1
_space_group_name_Hall 'P 1'
loop_
_atom_site_label
_atom_site_type_symbol
_atom_site_fract_x
_atom_site_fract_y
_atom_site_fract_z
_atom_site_occupancy
Sr1 Sr 0.0568 0.6299 0.8512 1
Sr2 Sr 0.2175 0.2838 0.7506 1
Sr3 Sr 0.2838 0.2175 0.2506 1
Sr4 Sr 0.3701 0.9432 0.6488 1
Sr5 Sr 0.6299 0.0568 0.3512 1
Sr6 Sr 0.7162 0.7825 0.7494 1
Sr7 Sr 0.7825 0.7162 0.2494 1
Sr8 Sr 0.9432 0.3701 0.1488 1
Pt1 Pt 0.0825 0.9175 0.7500 1
Pt2 Pt 0.9175 0.0825 0.2500 1
Au1 Au 0.3696 0.6304 0.2500 1
Au2 Au 0.6304 0.3696 0.7500 1
# excess energy over the best structure of this formula in the dataset: 1 meV/atom
# E_form: -0.595 eV/atom
# VASP energy: -39.24 eV/cell

Record 6
# Tl3Te2S6 (GGA-PBE, optimized geometry)
data_Tl3Te2S6
_chemical_formula_sum 'Tl6 Te4 S12'
_cell_length_a 7.5837
_cell_length_b 8.7847
_cell_length_c 11.3373
_cell_angle_alpha 90.00
_cell_angle_beta 90.00
_cell_angle_gamma 90.00
_space_group_name_H-M_alt 'P 1'
_space_group_IT_number 1
_space_group_name_Hall 'P 1'
loop_
_atom_site_label
_atom_site_type_symbol
_atom_site_fract_x
_atom_site_fract_y
_atom_site_fract_z
_atom_site_occupancy
Tl1 Tl 0.0000 0.0000 0.0000 1
Tl2 Tl 0.0000 0.5000 0.2879 1
Tl3 Tl 0.0000 0.5000 0.7121 1
Tl4 Tl 0.5000 0.0000 0.2121 1
Tl5 Tl 0.5000 0.0000 0.7879 1
Tl6 Tl 0.5000 0.5000 0.5000 1
Te1 Te 0.1477 0.1678 0.5000 1
Te2 Te 0.3523 0.6678 0.0000 1
Te3 Te 0.6477 0.3322 0.0000 1
Te4 Te 0.8523 0.8322 0.5000 1
S1 S 0.1298 0.7083 0.5000 1
S2 S 0.2065 0.7690 0.1691 1
S3 S 0.2065 0.7690 0.8309 1
S4 S 0.2935 0.2690 0.3309 1
S5 S 0.2935 0.2690 0.6691 1
S6 S 0.3702 0.2083 0.0000 1
S7 S 0.6298 0.7917 0.0000 1
S8 S 0.7065 0.7310 0.3309 1
S9 S 0.7065 0.7310 0.6691 1
S10 S 0.7935 0.2310 0.1691 1
S11 S 0.7935 0.2310 0.8309 1
S12 S 0.8702 0.2917 0.5000 1
# ΔE_f (raw): -0.057 eV per atom
# VASP energy: -77.56 eV/cell

Record 7
# Mg2FeRe (GGA-PBE, optimized geometry)
data_Mg2FeRe
_chemical_formula_sum 'Mg2 Fe1 Re1'
_cell_length_a 3.8040
_cell_length_b 3.8040
_cell_length_c 4.2864
_cell_angle_alpha 90.00
_cell_angle_beta 90.00
_cell_angle_gamma 90.00
_space_group_name_H-M_alt 'P 1'
_space_group_IT_number 1
_space_group_name_Hall 'P 1'
loop_
_atom_site_label
_atom_site_type_symbol
_atom_site_fract_x
_atom_site_fract_y
_atom_site_fract_z
_atom_site_occupancy
Mg1 Mg 0.0000 0.5000 0.0000 1
Mg2 Mg 0.5000 0.0000 0.0000 1
Fe1 Fe 0.0000 0.0000 0.5000 1
Re1 Re 0.5000 0.5000 0.5000 1
# excess energy over the best structure of this formula in the dataset: 279 meV/atom
# E_form: 0.405 eV/atom
# VASP energy: -22.48 eV/cell

Record 8
# NaLiSnSb (GGA-PBE, optimized geometry)
data_NaLiSnSb
_chemical_formula_sum 'Na1 Li1 Sn1 Sb1'
_cell_length_a 5.1389
_cell_length_b 5.1389
_cell_length_c 5.1389
_cell_angle_alpha 60.00
_cell_angle_beta 60.00
_cell_angle_gamma 60.00
_space_group_name_H-M_alt 'P 1'
_space_group_IT_number 1
_space_group_name_Hall 'P 1'
loop_
_atom_site_label
_atom_site_type_symbol
_atom_site_fract_x
_atom_site_fract_y
_atom_site_fract_z
_atom_site_occupancy
Na1 Na 0.0000 0.0000 0.0000 1
Li1 Li 0.5000 0.5000 0.5000 1
Sn1 Sn 0.7500 0.7500 0.7500 1
Sb1 Sb 0.2500 0.2500 0.2500 1
# ΔE_f (raw): -0.228 eV per atom
# VASP energy: -12.27 eV/cell

Number 1: DOS(E_F) 6.37 states/eV/f.u.. Number 2: DOS(E_F) 5.33 states/eV/f.u.. Number 3: DOS(E_F) 4.34 states/eV/f.u.. Number 4: DOS(E_F) 2.60 states/eV/f.u.. Number 5: DOS(E_F) 3.78 states/eV/f.u.. Number 6: DOS(E_F) 3.29 states/eV/f.u.. Number 7: DOS(E_F) 3.08 states/eV/f.u.. Number 8: DOS(E_F) 2.59 states/eV/f.u..